A plane-wave DFT calculation with meta-GGA SCAN was carried out for a PBEsol-optimized structure of Fe2NiAu.

```
Fe2NiAu
1.0
3.6216 0.0000 0.0000
0.0000 3.6216 0.0000
-1.8108 -1.8108 3.8147
Fe Au Ni
2 1 1
Direct
0.2500 0.7500 0.5000
0.7500 0.2500 0.5000
0.0000 0.0000 0.0000
0.5000 0.5000 0.0000
```

## Properties
final energy: -30.5223 eV/atom
total magnetic moment: 1.68 μB/atom
DFT formation energy: -48 kJ/mol of formula units
density: 12.19 g/cm3
relative energy among the computed polymorphs: 0.0 meV/atom

***

A plane-wave DFT calculation with meta-GGA SCAN was carried out for a PBEsol-optimized structure of NaTl2Pd2.

```
NaTl2Pd2
1.0
-2.4347 -1.8646 -0.4578
3.4997 -5.6644 4.4579
-3.5172 2.9837 6.5524
Pd Tl Na
4 4 2
Direct
0.5000 0.6503 0.8497
0.5000 0.3497 0.1503
0.5000 0.8497 0.3497
0.5000 0.1503 0.6503
0.0000 0.8528 0.6472
0.0000 0.3528 0.8528
0.0000 0.6472 0.1472
0.0000 0.1472 0.3528
0.0000 0.5000 0.5000
0.0000 0.0000 0.0000
```

## Properties
final energy: -43.0775 eV/atom
total magnetic moment: 0.00 μB/atom
DFT formation energy: -88 kJ/mol of formula units
density: 10.75 g/cm3
relative energy among the computed polymorphs: 0.0 meV/atom

***

A plane-wave DFT calculation with meta-GGA SCAN was carried out for a PBEsol-optimized structure of TaCd2Br.

```
TaCd2Br
1.0
3.0609 0.0000 0.0000
0.0000 4.7621 0.0000
-1.5305 -2.3811 6.9183
Cd Br Ta
2 1 1
Direct
0.0306 0.0306 0.0612
0.1572 0.6572 0.3144
0.8307 0.3307 0.6613
0.4816 0.4816 0.9631
```

## Properties
final energy: -36.5561 eV/atom
formation energy from raw total energies: 0.16 eV per atom
total magnetic moment: 0.00 μB/atom
density: 8.00 g/cm3
relative energy among the computed polymorphs: 0.0 meV/atom

***

A plane-wave DFT calculation with meta-GGA SCAN was carried out for a PBEsol-optimized structure of LiCdPb2.

```
LiCdPb2
1.0
4.4750 0.0000 0.0000
0.0000 4.4750 0.0000
-2.2375 -2.2375 4.8945
Cd Pb Li
1 2 1
Direct
0.5000 0.5000 0.0000
0.0000 0.0000 0.0000
0.7500 0.2500 0.5000
0.2500 0.7500 0.5000
```

## Properties
final energy: -46.2439 eV/atom
total magnetic moment: 0.00 μB/atom
DFT formation energy: -59 kJ/mol of formula units
density: 9.04 g/cm3

***

A plane-wave DFT calculation with meta-GGA SCAN was carried out for a PBEsol-optimized structure of Cd2MoOs.

```
Cd2MoOs
1.0
2.8262 0.0000 0.0000
1.4131 2.4476 0.0000
1.4131 0.8159 9.5599
Mo Cd Os
1 2 1
Direct
0.5000 0.5000 0.5000
0.7483 0.7483 0.7552
0.2517 0.2517 0.2448
0.0000 0.0000 0.0000
```

## Properties
final energy: -41.2655 eV/atom
total magnetic moment: 0.00 μB/atom
DFT formation energy: 244 kJ/mol of formula units
density: 12.83 g/cm3
relative energy among the computed polymorphs: 76.5 meV/atom

***

A plane-wave DFT calculation with meta-GGA SCAN was carried out for a PBEsol-optimized structure of MgCd2.

```
MgCd2
1.0
-0.9792 2.2586 -1.8853
-4.1394 -2.0425 -0.2971
-0.4559 4.9015 8.6590
Cd Mg
4 2
Direct
0.1876 0.4376 0.3752
0.9593 0.7093 0.9186
0.8124 0.5624 0.6248
0.0407 0.2907 0.0814
0.6125 0.8625 0.2250
0.3875 0.1375 0.7750
```

## Properties
final energy: -21.9706 eV/atom
total magnetic moment: 0.00 μB/atom
DFT formation energy: -11 kJ/mol of formula units
density: 6.03 g/cm3

***

A plane-wave DFT calculation with meta-GGA SCAN was carried out for a PBEsol-optimized structure of LiAlNi2.

```
LiAlNi2
1.0
-0.7418 -1.1908 2.3581
3.5277 -1.8490 0.1760
0.1844 4.7308 0.8505
Al Li Ni
1 1 2
Direct
0.4878 0.4878 0.9757
0.2581 0.7581 0.5162
0.7477 0.2477 0.4954
0.0063 0.0063 0.0127
```

## Properties
final energy: -10.9327 eV/atom
total magnetic moment: 0.00 μB/atom
DFT formation energy: -120 kJ/mol of formula units
density: 5.52 g/cm3

***

A plane-wave DFT calculation with meta-GGA SCAN was carried out for a PBEsol-optimized structure of SiIrSe2.

```
SiIrSe2
1.0
-1.1140 0.9819 -5.3063
-5.0316 -2.1472 0.6590
1.0327 5.7905 3.7156
Se Ir Si
4 2 2
Direct
0.3624 0.8750 0.2500
0.8876 0.3750 0.2500
0.6250 0.6376 0.7500
0.1250 0.1124 0.7500
0.2500 0.7500 0.5000
0.0000 0.0000 0.0000
0.5000 0.5000 0.0000
0.7500 0.2500 0.5000
```

## Properties
final energy: -29.9782 eV/atom
formation energy from raw total energies: 0.34 eV per atom
total magnetic moment: 0.00 μB/atom
density: 7.18 g/cm3

***

A plane-wave DFT calculation with meta-GGA SCAN was carried out for a PBEsol-optimized structure of LiScMn2.

```
LiScMn2
1.0
3.0231 0.0000 0.0000
0.0000 4.1925 0.0000
0.0000 0.0000 4.3807
Mn Sc Li
2 1 1
Direct
0.0000 0.0000 0.0000
0.5000 0.5000 0.0000
0.5000 0.0000 0.5000
0.0000 0.5000 0.5000
```

## Properties
final energy: -13.1803 eV/atom
total magnetic moment: 0.13 μB/atom
DFT formation energy: 40 kJ/mol of formula units
density: 4.84 g/cm3
relative energy among the computed polymorphs: 0.0 meV/atom

***

A plane-wave DFT calculation with meta-GGA SCAN was carried out for a PBEsol-optimized structure of BeFe2Se.

```
BeFe2Se
1.0
-1.6774 -3.3604 -0.8663
1.5877 -2.3242 -2.6332
1.6420 -3.3117 1.0922
Fe Se Be
2 1 1
Direct
0.7500 0.7500 0.7500
0.2500 0.2500 0.2500
0.5000 0.5000 0.5000
0.0000 0.0000 0.0000
```

## Properties
final energy: -14.9136 eV/atom
formation energy from raw total energies: 0.26 eV per atom
total magnetic moment: 0.00 μB/atom
density: 8.19 g/cm3

***

A plane-wave DFT calculation with meta-GGA SCAN was carried out for a PBEsol-optimized structure of YAg2.

```
YAg2
1.0
5.1457 0.0000 0.0000
0.0000 5.9166 0.0000
0.0000 0.0000 8.2522
Ag Y
8 4
Direct
0.7500 0.5511 0.7586
0.2500 0.9489 0.2586
0.2500 0.4489 0.2414
0.7500 0.3138 0.0476
0.2500 0.6862 0.9524
0.2500 0.1862 0.5476
0.7500 0.0511 0.7414
0.7500 0.8138 0.4524
0.7500 0.8113 0.0967
0.7500 0.3113 0.4033
0.2500 0.6887 0.5967
0.2500 0.1887 0.9033
```

## Properties
final energy: -30.4798 eV/atom
total magnetic moment: 0.00 μB/atom
DFT formation energy: -83 kJ/mol of formula units
density: 8.05 g/cm3

***

A plane-wave DFT calculation with meta-GGA SCAN was carried out for a PBEsol-optimized structure of CaMgGeO4.

```
CaMgGeO4
1.0
-4.6153 1.8440 0.5650
-2.2398 -4.3599 -4.0665
-1.7756 -7.0639 8.5516
O Ca Mg Ge
16 4 4 4
Direct
0.2276 0.7500 0.0797
0.7724 0.2500 0.9203
0.2652 0.0312 0.8518
0.2724 0.7500 0.5797
0.2652 0.4688 0.8518
0.7454 0.7500 0.4416
0.2546 0.2500 0.5584
0.7652 0.9688 0.6482
0.7652 0.5312 0.6482
0.7276 0.2500 0.4203
0.7546 0.7500 0.9416
0.7348 0.9688 0.1482
0.2454 0.2500 0.0584
0.2348 0.4688 0.3518
0.2348 0.0312 0.3518
0.7348 0.5312 0.1482
0.4893 0.7500 0.7742
0.5107 0.2500 0.2258
0.9893 0.2500 0.7258
0.0107 0.7500 0.2742
0.0000 0.5000 0.0000
0.5000 0.5000 0.5000
0.5000 0.0000 0.5000
0.0000 0.0000 0.0000
0.4237 0.2500 0.9201
0.9237 0.7500 0.5799
0.0763 0.2500 0.4201
0.5763 0.7500 0.0799
```

## Properties
final energy: -11.0731 eV/atom
formation energy from raw total energies: -2.69 eV per atom
total magnetic moment: 0.00 μB/atom
density: 3.73 g/cm3

***

Q: What is the formula in the eleventh record?
A: YAg2

***

Q: Which value of total magnetic moment does entry 12 give?
A: 0.00 μB/atom

***

Q: Which of these has the highest density?
A: Cd2MoOs